A plane-wave DFT calculation with PBE was carried out for an optimized crystal structure of NpMn2Se4. Values from VASP.

The structure in Quantum ESPRESSO input format:
```
&SYSTEM
  ibrav = 0, nat = 28, ntyp = 3
/
ATOMIC_SPECIES
Np 237.00 Np.upf
Mn 54.94 Mn.upf
Se 78.96 Se.upf
ATOMIC_POSITIONS crystal
Np 0.7504 0.2500 0.8652
Np 0.7504 0.7500 0.6348
Np 0.2496 0.2500 0.3652
Np 0.2496 0.7500 0.1348
Mn 0.2505 0.4348 0.6182
Mn 0.2505 0.9348 0.8818
Mn 0.7495 0.9348 0.3818
Mn 0.2505 0.5652 0.8818
Mn 0.7495 0.5652 0.3818
Mn 0.2505 0.0652 0.6182
Mn 0.7495 0.0652 0.1182
Mn 0.7495 0.4348 0.1182
Se 0.7498 0.1143 0.4759
Se 0.2502 0.8857 0.5241
Se 0.7509 0.0000 0.7500
Se 0.2502 0.1143 0.9759
Se 0.2502 0.3857 0.9759
Se 0.2506 0.7500 0.8039
Se 0.7498 0.8857 0.0241
Se 0.7494 0.7500 0.3039
Se 0.7509 0.5000 0.7500
Se 0.2491 0.0000 0.2500
Se 0.7498 0.3857 0.4759
Se 0.7494 0.2500 0.1961
Se 0.2506 0.2500 0.6961
Se 0.2491 0.5000 0.2500
Se 0.7498 0.6143 0.0241
Se 0.2502 0.6143 0.5241
CELL_PARAMETERS angstrom
-1.0711 -2.5663 -2.7151
10.7200 -6.4526 1.8701
-5.6776 -6.8946 8.7563
```

Values from the calculation:
E_form (uncorrected) = -4.58 eV/f.u.

=====

A plane-wave DFT calculation with PBE was carried out for an optimized crystal structure of NpMnSe2. Values from VASP.

The structure in Quantum ESPRESSO input format:
```
&SYSTEM
  ibrav = 0, nat = 16, ntyp = 3
/
ATOMIC_SPECIES
Np 237.00 Np.upf
Mn 54.94 Mn.upf
Se 78.96 Se.upf
ATOMIC_POSITIONS crystal
Np 0.8038 0.1979 0.9430
Np 0.1962 0.3021 0.4430
Np 0.1962 0.8021 0.0570
Np 0.8038 0.6979 0.5570
Mn 0.4107 0.9373 0.6436
Mn 0.5893 0.0627 0.3564
Mn 0.5893 0.5627 0.1436
Mn 0.4107 0.4373 0.8564
Se 0.0827 0.0081 0.7348
Se 0.9173 0.4919 0.2348
Se 0.9173 0.9919 0.2652
Se 0.0827 0.5081 0.7652
Se 0.4123 0.2085 0.1171
Se 0.4123 0.7085 0.3829
Se 0.5877 0.7915 0.8829
Se 0.5877 0.2915 0.6171
CELL_PARAMETERS angstrom
6.8143 -0.1479 0.0000
-1.1041 6.9659 0.0000
0.0000 0.0000 7.3894
```

Values from the calculation:
E_form (uncorrected) = -2.66 eV/f.u.
energy relative to the lowest polymorph listed for this composition = 0.0000 eV/atom